Record 1
Below is Er7Hg2C2 after structural relaxation, with properties calculated at the GGA-PBE level.

Cell and atoms, written as POSCAR:
```
Er7Hg2C2
1.0
3.793 -5.546 0.000
3.793 5.546 0.000
-0.977 0.000 7.721
Er Hg C
7 2 2
Direct
0.000 0.000 0.000
0.059 0.440 0.784
0.414 0.414 0.187
0.440 0.059 0.784
0.560 0.941 0.216
0.586 0.586 0.813
0.941 0.560 0.216
0.319 0.681 0.500
0.681 0.319 0.500
0.288 0.288 0.896
0.712 0.712 0.104
```

E_form: 0.3 kJ per mole of atoms
Fermi-level density of states: 10.08 states/eV/cell
calculated total energy: -50.95 eV per cell

***

Record 2
Below is Cu3IF4 after structural relaxation, with properties calculated at the GGA-PBE level.

Cell and atoms, written as POSCAR:
```
Cu3IF4
1.0
6.273 -2.799 0.000
6.273 2.799 0.000
-2.170 0.000 6.949
Cu I F
6 2 8
Direct
0.000 0.000 0.000
0.000 0.000 0.500
0.288 0.296 0.605
0.296 0.288 0.105
0.704 0.711 0.893
0.711 0.704 0.393
0.339 0.660 0.250
0.660 0.339 0.750
0.008 0.721 0.532
0.139 0.436 0.852
0.278 0.992 0.967
0.436 0.139 0.352
0.563 0.861 0.646
0.721 0.008 0.032
0.861 0.563 0.146
0.992 0.278 0.467
```

uncorrected formation energy: -1140.4 meV per atom
Fermi-level density of states: 8.30 states/eV/cell
calculated total energy: -60.89 eV per cell

***

Record 3
Below is Nd6Si2CCl3 after structural relaxation, with properties calculated at the GGA-PBE level.

Cell and atoms, written as POSCAR:
```
Nd6Si2CCl3
1.0
9.267 -2.034 0.000
9.267 2.034 0.000
-2.343 0.000 8.224
Nd Si C Cl
6 2 1 3
Direct
0.004 0.004 0.205
0.329 0.329 0.435
0.356 0.356 0.921
0.644 0.644 0.079
0.671 0.671 0.565
0.996 0.996 0.795
0.166 0.166 0.327
0.834 0.834 0.673
0.500 0.500 0.000
0.166 0.166 0.832
0.500 0.500 0.500
0.834 0.834 0.168
```

uncorrected formation energy: -1097.1 meV per atom
Fermi-level density of states: 5.10 states/eV/cell
calculated total energy: -67.38 eV per cell

***

Record 4
Below is MnAsW3 after structural relaxation, with properties calculated at the GGA-PBE level.

Cell and atoms, written as POSCAR:
```
MnAsW3
1.0
4.504 0.000 0.000
0.000 4.504 0.000
0.000 0.000 4.504
Mn As W
1 1 3
Direct
0.000 0.000 0.000
0.500 0.500 0.500
0.000 0.000 0.500
0.000 0.500 0.000
0.500 0.000 0.000
```

energy relative to the lowest polymorph listed for this composition: 0 meV/atom
E_form: 140.8 kJ per mole of atoms
Fermi-level density of states: 5.36 states/eV/cell
calculated total energy: -45.38 eV per cell

***

Record 5
Below is TbCu2I6 after structural relaxation, with properties calculated at the GGA-PBE level.

Cell and atoms, written as POSCAR:
```
TbCu2I6
1.0
8.298 -6.436 0.000
8.298 6.436 0.000
-1.180 0.000 7.303
Tb Cu I
2 4 12
Direct
0.094 0.906 0.750
0.906 0.094 0.250
0.308 0.461 0.691
0.461 0.308 0.191
0.539 0.692 0.809
0.692 0.539 0.309
0.032 0.183 0.620
0.136 0.627 0.863
0.183 0.032 0.120
0.283 0.469 0.349
0.373 0.864 0.637
0.469 0.283 0.849
0.531 0.717 0.151
0.627 0.136 0.363
0.717 0.531 0.651
0.817 0.968 0.880
0.864 0.373 0.137
0.968 0.817 0.380
```

uncorrected formation energy: -654.1 meV per atom
Fermi-level density of states: 13.89 states/eV/cell
calculated total energy: -56.02 eV per cell

***

Record 6
Below is Ba2SbAsAu6 after structural relaxation, with properties calculated at the GGA-PBE level.

Cell and atoms, written as POSCAR:
```
Ba2SbAsAu6
1.0
5.683 0.000 0.000
2.830 6.826 0.000
2.841 0.205 6.879
Ba Sb As Au
2 1 1 6
Direct
0.247 0.223 0.286
0.753 0.777 0.714
0.000 0.000 0.000
0.500 0.500 0.500
0.248 0.745 0.259
0.251 0.590 0.906
0.257 0.251 0.738
0.743 0.749 0.262
0.749 0.410 0.094
0.752 0.255 0.741
```

uncorrected formation energy: -461.3 meV per atom
Fermi-level density of states: 2.72 states/eV/cell
calculated total energy: -36.89 eV per cell

***

Record 7
Below is Pr5Sm2Dy after structural relaxation, with properties calculated at the GGA-PBE level.

Cell and atoms, written as POSCAR:
```
Pr5Sm2Dy
1.0
3.170 -14.379 0.000
3.170 14.379 0.000
-2.238 0.000 6.287
Pr Sm Dy
10 4 2
Direct
0.071 0.453 0.504
0.096 0.904 0.750
0.190 0.408 0.912
0.408 0.190 0.412
0.453 0.071 0.004
0.547 0.929 0.996
0.592 0.810 0.588
0.810 0.592 0.088
0.904 0.096 0.250
0.929 0.547 0.496
0.000 0.000 0.000
0.000 0.000 0.500
0.000 0.500 0.000
0.500 0.000 0.500
0.488 0.512 0.250
0.512 0.488 0.750
```

energy relative to the lowest polymorph listed for this composition: 189 meV/atom
E_form: 19.7 kJ per mole of atoms
Fermi-level density of states: 23.12 states/eV/cell
calculated total energy: -72.61 eV per cell

***

Record 8
Below is BaTaOs after structural relaxation, with properties calculated at the GGA-PBE level.

Cell and atoms, written as POSCAR:
```
BaTaOs
1.0
0.000 3.365 3.365
3.365 0.000 3.365
3.365 3.365 0.000
Ba Ta Os
1 1 1
Direct
0.000 0.000 0.000
0.500 0.500 0.500
0.750 0.750 0.750
```

energy relative to the lowest polymorph listed for this composition: 748 meV/atom
E_form: 113.3 kJ per mole of atoms
Fermi-level density of states: 2.30 states/eV/cell
calculated total energy: -21.48 eV per cell

***

Record 9
Below is BaTl3Cl12 after structural relaxation, with properties calculated at the GGA-PBE level.

Cell and atoms, written as POSCAR:
```
BaTl3Cl12
1.0
5.851 3.378 11.538
-5.851 3.378 11.538
0.000 -6.756 11.538
Ba Tl Cl
2 6 24
Direct
0.000 0.000 0.000
0.500 0.500 0.500
0.109 0.355 0.696
0.196 0.855 0.609
0.355 0.696 0.109
0.609 0.196 0.855
0.696 0.109 0.355
0.855 0.609 0.196
0.016 0.576 0.534
0.034 0.076 0.516
0.076 0.516 0.034
0.155 0.670 0.159
0.159 0.155 0.670
0.170 0.655 0.659
0.180 0.806 0.830
0.295 0.943 0.958
0.306 0.680 0.330
0.330 0.306 0.680
0.443 0.795 0.458
0.458 0.443 0.795
0.516 0.034 0.076
0.534 0.016 0.576
0.576 0.534 0.016
0.655 0.659 0.170
0.659 0.170 0.655
0.670 0.159 0.155
0.680 0.330 0.306
0.795 0.458 0.443
0.806 0.830 0.180
0.830 0.180 0.806
0.943 0.958 0.295
0.958 0.295 0.943
```

uncorrected formation energy: -885.0 meV per atom
Fermi-level density of states: 47.04 states/eV/cell
calculated total energy: -90.68 eV per cell

***

Record 10
Below is SiAsRh2 after structural relaxation, with properties calculated at the GGA-PBE level.

Cell and atoms, written as POSCAR:
```
SiAsRh2
1.0
-2.692 2.692 5.466
2.692 -2.692 5.466
2.692 2.692 -5.466
Si As Rh
2 2 4
Direct
0.000 0.000 0.000
0.750 0.250 0.500
0.250 0.750 0.500
0.500 0.500 0.000
0.111 0.625 0.986
0.375 0.361 0.486
0.639 0.125 0.014
0.875 0.889 0.514
```

uncorrected formation energy: -213.3 meV per atom
Fermi-level density of states: 3.90 states/eV/cell
calculated total energy: -51.26 eV per cell

***

Record 11
Below is Al2Co6B after structural relaxation, with properties calculated at the GGA-PBE level.

Cell and atoms, written as POSCAR:
```
Al2Co6B
1.0
6.097 -3.272 0.000
6.097 3.272 0.000
-0.565 0.000 2.572
Al Co B
2 6 1
Direct
0.138 0.138 0.136
0.862 0.862 0.864
0.154 0.503 0.330
0.275 0.725 0.000
0.497 0.846 0.670
0.503 0.154 0.330
0.725 0.275 0.000
0.846 0.497 0.670
0.500 0.500 0.500
```

E_form: -4.1 kJ per mole of atoms
Fermi-level density of states: 8.28 states/eV/cell
calculated total energy: -57.18 eV per cell

***

Record 12
Below is Be3Tl after structural relaxation, with properties calculated at the GGA-PBE level.

Cell and atoms, written as POSCAR:
```
Be3Tl
1.0
0.000 2.992 2.992
2.992 0.000 2.992
2.992 2.992 0.000
Be Tl
3 1
Direct
0.000 0.000 0.000
0.250 0.250 0.250
0.750 0.750 0.750
0.500 0.500 0.500
```

energy relative to the lowest polymorph listed for this composition: 533 meV/atom
E_form: 85.8 kJ per mole of atoms
Fermi-level density of states: 1.44 states/eV/cell
calculated total energy: -9.99 eV per cell

***

| no. | magnetization (μB/cell) |
| --- | --- |
| 1 | 0.003 |
| 2 | 4.023 |
| 3 | 0.000 |
| 4 | 0.000 |
| 5 | 0.000 |
| 6 | 0.000 |
| 7 | 0.000 |
| 8 | 0.000 |
| 9 | 2.571 |
| 10 | 0.000 |
| 11 | 6.160 |
| 12 | 0.000 |